#a
A plane-wave DFT calculation with GGA-PBE was carried out for a relaxed Ca2LaTc crystal.

Cell and atoms, written as CIF:
```
data_Ca2LaTc
_cell_length_a 9.1590
_cell_length_b 4.5779
_cell_length_c 6.2547
_cell_angle_alpha 90.00
_cell_angle_beta 116.33
_cell_angle_gamma 90.00
_space_group_name_H-M_alt 'C 1 m 1'
_space_group_IT_number 8
_space_group_name_Hall 'C -2y'
loop_
_atom_site_label
_atom_site_type_symbol
_atom_site_fract_x
_atom_site_fract_y
_atom_site_fract_z
Ca1 Ca 0.0000 0.0000 0.0000
Ca2 Ca 0.1973 0.0000 0.6476
La1 La 0.2781 0.5000 0.2913
Tc1 Tc 0.4199 0.0000 0.3196
```

Summary:
Crystal system: monoclinic
Magnetic moment (μB per formula unit): 0.00

=====

#b
A plane-wave DFT calculation with GGA-PBE was carried out for a relaxed Ca2LaTc crystal.

Cell and atoms, written as CIF:
```
data_Ca2LaTc
_cell_length_a 4.6561
_cell_length_b 4.6561
_cell_length_c 9.9909
_cell_angle_alpha 90.00
_cell_angle_beta 90.00
_cell_angle_gamma 90.00
_space_group_name_H-M_alt 'I 4/m m m'
_space_group_IT_number 139
_space_group_name_Hall '-I 4 2'
loop_
_atom_site_label
_atom_site_type_symbol
_atom_site_fract_x
_atom_site_fract_y
_atom_site_fract_z
Ca1 Ca 0.0000 0.5000 0.2500
La1 La 0.0000 0.0000 0.0000
Tc1 Tc 0.0000 0.0000 0.5000
```

Summary:
Crystal system: tetragonal
Magnetic moment (μB per formula unit): 0.00

=====

Short version: #a is the most stable of them.